VASP calculation (PBE) on an optimized crystal structure of Ta3V7Cr2.

It has space group R-3m (No. 166, hexagonal axes), with a = 5.0860 Å, b = 5.0860 Å, c = 23.6112 Å, α = 90.00°, β = 90.00° and γ = 120.00°. The distinct sites, in fractional coordinates, are Ta at (0.0000, 0.0000, 0.0000), Ta at (0.0000, 0.0000, 0.1445), V at (0.0000, 0.0000, 0.5000), V at (0.0014, 0.5007, 0.9190) and Cr at (0.0000, 0.0000, 0.3323).

The calculation puts the formation energy from the elements at 0.04 eV/atom. The calculation puts the size of the total moment at 0.0 μB per formula unit.



VASP calculation (PBE) on an optimized crystal structure of PmNd5Ga3.

It has space group Cmcm (No. 63), with a = 16.0419 Å, b = 9.1858 Å, c = 6.8263 Å, α = 90.00°, β = 90.00° and γ = 90.00°. The distinct sites, in fractional coordinates, are Pm at (0.0000, 0.0000, 0.0000), Nd at (0.0000, 0.3418, 0.2500), Nd at (0.1621, 0.1716, 0.7500), Nd at (0.1816, 0.5000, 0.0000), Ga at (0.0000, 0.3320, 0.7500) and Ga at (0.1659, 0.1671, 0.2500).

The calculation puts the formation energy from the elements at -0.36 eV/atom. The calculation puts the size of the total moment at 0.0 μB per formula unit.



VASP calculation (PBE) on an optimized crystal structure of Ce3Ir2Ru.

It has space group C2/c (No. 15), with a = 13.5941 Å, b = 5.5152 Å, c = 7.1733 Å, α = 90.00°, β = 103.02° and γ = 90.00°. The distinct sites, in fractional coordinates, are Ce at (0.0000, 0.1200, 0.2500), Ce at (0.1713, 0.4006, 0.6364), Ir at (0.1635, 0.0954, 0.0167) and Ru at (0.0000, 0.3959, 0.7500).

The calculation puts the formation energy from the elements at -0.58 eV/atom. The calculation puts the size of the total moment at 0.0 μB per formula unit.



VASP calculation (PBE) on an optimized crystal structure of Pr2MgAg.

It has space group P4/mmm (No. 123), with a = 3.8841 Å, b = 3.8841 Å, c = 7.5146 Å, α = 90.00°, β = 90.00° and γ = 90.00°. The distinct sites, in fractional coordinates, are Pr at (0.0000, 0.0000, 0.2425), Mg at (0.5000, 0.5000, 0.5000) and Ag at (0.5000, 0.5000, 0.0000).

The calculation puts the formation energy from the elements at -0.18 eV/atom. The calculation puts the size of the total moment at 0.0 μB per formula unit.



VASP calculation (PBE) on an optimized crystal structure of CaPm2Nd.

It has space group P4/mmm (No. 123), with a = 5.2091 Å, b = 5.2091 Å, c = 5.2418 Å, α = 90.00°, β = 90.00° and γ = 90.00°. The distinct sites, in fractional coordinates, are Ca at (0.0000, 0.0000, 0.0000), Pm at (0.0000, 0.5000, 0.5000) and Nd at (0.5000, 0.5000, 0.0000).

The calculation puts the formation energy from the elements at 0.08 eV/atom. The calculation puts the size of the total moment at 0.0 μB per formula unit.



VASP calculation (PBE) on an optimized crystal structure of AcLa2Au.

It has space group P4/mmm (No. 123), with a = 3.8434 Å, b = 3.8434 Å, c = 9.0658 Å, α = 90.00°, β = 90.00° and γ = 90.00°. The distinct sites, in fractional coordinates, are Ac at (0.0000, 0.0000, 0.0000), La at (0.5000, 0.5000, 0.3003) and Au at (0.0000, 0.0000, 0.5000).

The calculation puts the formation energy from the elements at -0.38 eV/atom. The calculation puts the size of the total moment at 0.0 μB per formula unit.